# 1
# LaZrCu

An optimized crystal structure of LaZrCu (PBE, the Alexandria database).

The structure in POSCAR format:
```
LaZrCu
1.0
4.2997 0.0000 0.0000
0.0000 4.2997 0.0000
0.0000 0.0000 7.5553
La Zr Cu
2 2 2
Cartesian
2.1498 2.1498 3.7777 La
0.0000 0.0000 3.7777 La
2.1498 0.0000 6.7064 Zr
0.0000 2.1498 0.8490 Zr
0.0000 2.1498 5.9235 Cu
2.1498 0.0000 1.6319 Cu
```

Energy above the lowest structure with this stoichiometry (kJ/mol of formula units): 87
Calculated density (g cm⁻³): 7.0
Total magnetic moment (μB/cell): 0.00


# 2
# KPdF5

An optimized crystal structure of KPdF5 (PBE, the Alexandria database).

The structure in POSCAR format:
```
KPdF5
1.0
0.6311 -3.6527 -6.6259
5.7236 -4.1010 2.8399
-5.9921 0.7449 3.5825
F Pd K
10 2 2
Cartesian
1.4981 -5.7482 0.7497 F
2.3148 -4.9028 -2.8681 F
-1.1356 -1.2605 -0.9532 F
0.4172 -1.4300 1.3170 F
-0.0547 -5.5787 -1.5205 F
0.0877 -3.4583 -3.1093 F
-4.3787 0.1496 2.6830 F
-1.9523 -2.1059 2.6647 F
0.2747 -3.5505 2.9058 F
4.7412 -7.1584 -2.8864 F
-0.1343 -1.6780 3.2112 Pd
0.0000 0.0000 0.0000 Pd
3.9053 -5.6860 -0.7611 K
-3.5428 -1.3227 0.5577 K
```

Total energy (eV/cell): -56.22
Calculated density (g cm⁻³): 3.1
Total magnetic moment (μB/cell): 0.00


# 3
# Ba2TaPt

An optimized crystal structure of Ba2TaPt (PBE, the Alexandria database).

The structure in POSCAR format:
```
Ba2TaPt
1.0
5.3754 0.0000 0.0000
2.6877 4.6552 0.0000
2.6877 1.5517 4.3890
Pt Ba Ta
1 2 1
Cartesian
5.3754 3.1035 2.1945 Pt
2.6877 1.5517 1.0973 Ba
0.0000 0.0000 0.0000 Ba
8.0631 4.6552 3.2918 Ta
```

Energy above the lowest structure with this stoichiometry (kJ/mol of formula units): 267
Calculated density (g cm⁻³): 9.8
Total magnetic moment (μB/cell): 2.35


# 4
# Tl8CdPb5

An optimized crystal structure of Tl8CdPb5 (PBE, the Alexandria database).

The structure in POSCAR format:
```
Tl8CdPb5
1.0
7.8275 0.0000 -2.8971
-3.8082 6.9097 -2.7233
-0.2111 0.0000 8.3438
Tl Pb Cd
8 5 1
Cartesian
0.5666 6.2675 3.2490 Tl
-1.5386 4.5965 -1.8898 Tl
-2.1528 4.9218 1.7587 Tl
3.2441 2.6828 4.7639 Tl
1.7486 4.2269 -1.1935 Tl
7.0659 0.6422 2.2091 Tl
1.5225 2.3132 1.8783 Tl
4.7765 1.9880 0.1176 Tl
6.7042 1.8500 -2.9910 Pb
3.7308 6.3327 -3.5524 Pb
3.8082 0.0000 2.7233 Pb
3.3562 5.0598 1.6907 Pb
1.8637 0.5771 -0.9415 Pb
-0.1056 3.4548 4.1719 Cd
```

Total energy (eV/cell): -37.34
Calculated density (g cm⁻³): 10.3
Total magnetic moment (μB/cell): 0.00


# 5
# OsRh3O

An optimized crystal structure of OsRh3O (PBE, the Alexandria database).

The structure in POSCAR format:
```
OsRh3O
1.0
4.6942 0.0000 0.0000
0.0000 4.6942 0.0000
0.0000 0.0000 4.6942
O Rh Os
1 3 1
Cartesian
2.3471 2.3471 2.3471 O
0.0000 2.3471 0.0000 Rh
0.0000 0.0000 2.3471 Rh
2.3471 0.0000 0.0000 Rh
0.0000 0.0000 0.0000 Os
```

Energy above the lowest structure with this stoichiometry (kJ/mol of formula units): 620
Calculated density (g cm⁻³): 8.3
Total magnetic moment (μB/cell): 0.00


# 6
# La2Nd7Tl2

An optimized crystal structure of La2Nd7Tl2 (PBE, the Alexandria database).

The structure in POSCAR format:
```
La2Nd7Tl2
1.0
8.6453 1.1361 1.6395
0.2265 6.5788 1.0265
0.2265 -1.3492 6.5203
La Tl Nd
2 2 7
Cartesian
4.5491 5.7228 2.8330 La
4.5491 0.6429 6.3532 La
1.6373 3.4094 4.9201 Tl
7.4609 2.9563 4.2662 Tl
4.5116 4.1545 5.9953 Nd
7.5269 6.0851 5.4233 Nd
1.5712 3.4248 1.5841 Nd
4.5866 2.2112 3.1909 Nd
0.0000 0.0000 0.0000 Nd
1.5712 0.2806 3.7629 Nd
7.5269 2.9410 7.6021 Nd
```

Total energy (eV/cell): -48.04
Calculated density (g cm⁻³): 7.4
Total magnetic moment (μB/cell): 0.00


# 7
# ZrScSb2

An optimized crystal structure of ZrScSb2 (PBE, the Alexandria database).

The structure in POSCAR format:
```
ZrScSb2
1.0
-0.7075 2.6211 -2.2135
0.4786 -2.7512 -2.1148
-7.6900 -1.6893 0.4575
Zr Sc Sb
1 1 2
Cartesian
-5.8820 -1.3320 -1.8211 Zr
-2.0370 -0.4874 -2.0498 Sc
-0.0141 -0.0031 0.0008 Sb
-3.8309 -0.8416 0.2279 Sb
```

Energy above the lowest structure with this stoichiometry (kJ/mol of formula units): 67
Calculated density (g cm⁻³): 6.7
Total magnetic moment (μB/cell): 0.00


# 8
# SmErTl

An optimized crystal structure of SmErTl (PBE, the Alexandria database).

The structure in POSCAR format:
```
SmErTl
1.0
-4.2907 0.0298 3.3419
4.8285 -1.7508 1.7886
1.5570 6.2791 1.9431
Tl Sm Er
2 2 2
Cartesian
-0.2365 1.2880 1.8979 Tl
2.3314 3.2701 5.1757 Tl
3.1928 2.2642 1.8659 Sm
2.4142 -0.8754 0.8943 Sm
0.5433 4.4273 2.8692 Er
1.5516 0.1308 4.2044 Er
```

Energy above the lowest structure with this stoichiometry (kJ/mol of formula units): 0
Calculated density (g cm⁻³): 10.0
Total magnetic moment (μB/cell): 0.00